# 1
# TaAlTl3

Crystalline TaAlTl3 at its relaxed geometry (PBE, the Alexandria database).

a b c (Å): 5.502 5.502 5.502
angles (deg): 90.00 90.00 90.00
Atoms (fractional coordinates):
Al: 0.500 0.500 0.500
Tl: 0.000 0.500 0.000
Tl: 0.000 0.000 0.500
Tl: 0.500 0.000 0.000
Ta: 0.000 0.000 0.000

Computed properties:
* space group: Pm-3m, No. 221
* calculated formation energy: 869 meV per atom

***

# 2
# Tl3VSe

Crystalline Tl3VSe at its relaxed geometry (PBE, the Alexandria database).

a b c (Å): 5.716 5.716 5.716
angles (deg): 90.00 90.00 90.00
Atoms (fractional coordinates):
Tl: 0.000 0.000 0.500
Tl: 0.000 0.500 0.000
Tl: 0.500 0.000 0.000
V: 0.500 0.500 0.500
Se: 0.000 0.000 0.000

Computed properties:
* space group: Pm-3m, No. 221
* energy relative to the elements, uncorrected: 853 meV/atom

***

# 3
# NpHSI

Crystalline NpHSI at its relaxed geometry (PBE, the Alexandria database).

a b c (Å): 3.879 3.879 7.695
angles (deg): 90.08 104.52 120.00
Atoms (fractional coordinates):
S: 0.018 0.873 0.891
I: 0.354 0.042 0.396
H: 0.835 0.282 0.117
Np: 0.485 0.607 0.092

Computed properties:
* space group: Cm, No. 8

***

# 4
# BeTlIn2

Crystalline BeTlIn2 at its relaxed geometry (PBE, the Alexandria database).

a b c (Å): 5.156 5.156 5.156
angles (deg): 60.00 60.00 60.00
Atoms (fractional coordinates):
Tl: 0.500 0.500 0.500
In: 0.750 0.750 0.750
In: 0.250 0.250 0.250
Be: 0.000 0.000 0.000

Computed properties:
* space group: Fm-3m, No. 225
* calculated formation energy: 513 meV per atom

***

# 5
# Cr2Ag2Pd

Crystalline Cr2Ag2Pd at its relaxed geometry (PBE, the Alexandria database).

a b c (Å): 3.117 3.117 8.531
angles (deg): 79.47 79.47 90.00
Atoms (fractional coordinates):
Ag: 0.392 0.392 0.216
Ag: 0.608 0.608 0.784
Cr: 0.750 0.250 0.500
Cr: 0.250 0.750 0.500
Pd: 0.000 0.000 0.000

Computed properties:
* space group: I4/mmm, No. 139
* calculated formation energy: 544 meV per atom

***

# 6
# MnTlOs2

Crystalline MnTlOs2 at its relaxed geometry (PBE, the Alexandria database).

a b c (Å): 5.564 5.564 5.564
angles (deg): 150.34 131.18 58.17
Atoms (fractional coordinates):
Tl: 0.750 0.250 0.500
Os: 0.031 0.031 0.000
Os: 0.469 0.469 0.000
Mn: 0.250 0.750 0.500

Computed properties:
* space group: Immm, No. 71
* calculated formation energy: 655 meV per atom

***

no.,final energy (eV for the cell shown),N(E_F) (states/eV per cell)
1,-18.35,3.82
2,-15.44,8.19
3,-25.26,7.33
4,-9.52,2.37
5,-27.42,4.28
6,-31.38,3.07